1.
Below is a geometry-optimized ScAg4 structure, with properties calculated at the PBE level.

Cell: 11.8890 11.8890 11.8890 Å, 14.75 14.75 14.75°
Fractional coordinates of all 5 atoms:
Ag  0.0988  0.0988  0.0988
Ag  0.9012  0.9012  0.9012
Ag  0.6993  0.6993  0.6993
Ag  0.3007  0.3007  0.3007
Sc  0.5000  0.5000  0.5000

Output
* volume: 19.0 A^3/atom
* energy: -3.528 eV/atom
* density: 8.34 g/cm3
* SG: No. 166



2.
Below is a geometry-optimized TlIrSe2 structure, with properties calculated at the PBE level.

Cell: 9.0873 9.0873 9.0873 Å, 23.87 23.87 23.87°
Fractional coordinates of all 4 atoms:
Se  0.1193  0.1193  0.1193
Se  0.8807  0.8807  0.8807
Tl  0.0000  0.0000  0.0000
Ir  0.5000  0.5000  0.5000

Output
* volume: 27.0 A^3/atom
* energy relative to the elements, uncorrected: -0.226 eV/atom
* density: 8.53 g/cm3
* energy above the lowest structure with this stoichiometry: 82.2 meV per atom
* SG: No. 166



3.
Below is a geometry-optimized AcThNi3 structure, with properties calculated at the PBE level.

Cell: 4.1536 3.9932 12.8685 Å, 98.93 90.00 90.00°
Fractional coordinates of all 10 atoms:
Ac  0.2500  0.0710  0.1421
Ac  0.7500  0.9290  0.8579
Ni  0.7500  0.6231  0.2462
Ni  0.2500  0.3769  0.7538
Ni  0.7500  0.3155  0.6311
Ni  0.2500  0.6845  0.3689
Ni  0.2500  0.4739  0.9478
Ni  0.7500  0.5261  0.0522
Th  0.7500  0.2005  0.4010
Th  0.2500  0.7995  0.5990

Output
* volume: 21.1 A^3/atom
* energy: -6.121 eV/atom
* density: 10.00 g/cm3
* SG: No. 63



4.
Below is a geometry-optimized Al2OsCl structure, with properties calculated at the PBE level.

Cell: 5.0403 5.0403 4.3823 Å, 96.44 96.44 34.85°
Fractional coordinates of all 4 atoms:
Al  0.9860  0.9860  0.9154
Al  0.2739  0.2739  0.3406
Cl  0.5214  0.5214  0.4059
Os  0.7187  0.7187  0.8382

Output
* volume: 15.8 A^3/atom
* energy relative to the elements, uncorrected: -0.038 eV/atom
* density: 7.35 g/cm3
* energy above the lowest structure with this stoichiometry: 437.9 meV per atom
* SG: No. 8



5.
Below is a geometry-optimized NaTlInHg2 structure, with properties calculated at the PBE level.

Cell: 5.0151 5.0151 6.6316 Å, 90.00 90.00 120.00°
Fractional coordinates of all 5 atoms:
Hg  0.6667  0.3333  0.8285
Hg  0.3333  0.6667  0.1661
Na  0.0000  0.0000  0.9950
Tl  0.6667  0.3333  0.3509
In  0.3333  0.6667  0.6595

Output
* volume: 28.9 A^3/atom
* energy: -1.482 eV/atom
* density: 8.55 g/cm3
* SG: No. 156



6.
Below is a geometry-optimized Y2MgAl structure, with properties calculated at the PBE level.

Cell: 3.4226 3.4226 8.7995 Å, 90.00 90.00 90.00°
Fractional coordinates of all 4 atoms:
Al  0.0000  0.0000  0.5196
Y  0.5000  0.5000  0.2892
Y  0.0000  0.0000  0.9807
Mg  0.5000  0.5000  0.7105

Output
* volume: 25.8 A^3/atom
* density: 3.69 g/cm3
* energy above the lowest structure with this stoichiometry: 169.7 meV per atom
* SG: No. 99



7.
Below is a geometry-optimized Co3SiH structure, with properties calculated at the PBE level.

Cell: 16.3930 4.7484 6.4921 Å, 90.00 158.17 90.00°
Fractional coordinates of all 20 atoms:
H  0.8742  0.7499  0.3742
H  0.1258  0.2501  0.6258
H  0.3742  0.7501  0.8742
H  0.6258  0.2499  0.1258
Co  0.7500  0.5000  0.2500
Co  0.8614  0.2500  0.8614
Co  0.4608  0.2500  0.9608
Co  0.6386  0.7500  0.6386
Co  0.0392  0.7500  0.5392
Co  0.9608  0.2500  0.4608
Co  0.7500  0.0000  0.2500
Co  0.1386  0.7500  0.1386
Co  0.2500  0.5000  0.7500
Co  0.3614  0.2500  0.3614
Co  0.2500  0.0000  0.7500
Co  0.5392  0.7500  0.0392
Si  0.0848  0.2500  0.0848
Si  0.9152  0.7500  0.9152
Si  0.5848  0.2500  0.5848
Si  0.4152  0.7500  0.4152

Output
* volume: 9.4 A^3/atom
* density: 7.28 g/cm3
* energy above the lowest structure with this stoichiometry: 189.4 meV per atom
* SG: No. 51



8.
Below is a geometry-optimized NaTiIn structure, with properties calculated at the PBE level.

Cell: 9.4096 4.6898 3.0554 Å, 90.00 80.68 90.00°
Fractional coordinates of all 6 atoms:
In  0.2870  0.2500  0.1061
In  0.7130  0.7500  0.8939
Na  0.0972  0.7500  0.7000
Na  0.9028  0.2500  0.3000
Ti  0.4414  0.7500  0.5291
Ti  0.5586  0.2500  0.4709

Output
* volume: 22.2 A^3/atom
* density: 4.63 g/cm3
* energy above the lowest structure with this stoichiometry: 87.7 meV per atom
* SG: No. 11



9.
Below is a geometry-optimized PIr3 structure, with properties calculated at the PBE level.

Cell: 5.5909 5.5909 5.5909 Å, 150.81 137.29 52.57°
Fractional coordinates of all 4 atoms:
Ir  0.0584  0.0584  0.0000
Ir  0.4416  0.4416  0.0000
Ir  0.7500  0.2500  0.5000
P  0.2500  0.7500  0.5000

Output
* volume: 14.4 A^3/atom
* density: 17.54 g/cm3
* energy above the lowest structure with this stoichiometry: 14.2 meV per atom
* SG: No. 71



10.
Below is a geometry-optimized Hg3AsF structure, with properties calculated at the PBE level.

Cell: 4.9330 4.9330 4.9330 Å, 90.00 90.00 90.00°
Fractional coordinates of all 5 atoms:
F  0.0000  0.0000  0.0000
Hg  0.0000  0.5000  0.0000
Hg  0.0000  0.0000  0.5000
Hg  0.5000  0.0000  0.0000
As  0.5000  0.5000  0.5000

Output
* volume: 24.0 A^3/atom
* energy relative to the elements, uncorrected: 0.106 eV/atom
* density: 9.62 g/cm3
* energy above the lowest structure with this stoichiometry: 316.8 meV per atom
* SG: No. 221



11.
Below is a geometry-optimized PmCdCu3 structure, with properties calculated at the PBE level.

Cell: 4.1218 3.7263 12.5255 Å, 98.55 90.00 90.00°
Fractional coordinates of all 10 atoms:
Cu  0.7500  0.6271  0.2541
Cu  0.2500  0.4729  0.9458
Cu  0.2500  0.6820  0.3641
Cu  0.7500  0.5271  0.0542
Cu  0.7500  0.3180  0.6359
Cu  0.2500  0.3729  0.7459
Pm  0.2500  0.0778  0.1557
Pm  0.7500  0.9222  0.8443
Cd  0.7500  0.2084  0.4168
Cd  0.2500  0.7916  0.5832

Output
* volume: 19.0 A^3/atom
* energy: -3.684 eV/atom
* density: 7.82 g/cm3
* SG: No. 63



12.
Below is a geometry-optimized TcAg2W structure, with properties calculated at the PBE level.

Cell: 2.7662 4.7843 5.8762 Å, 56.96 90.00 90.00°
Fractional coordinates of all 4 atoms:
Ag  0.5000  0.5000  0.0000
Ag  0.0000  0.0000  0.0000
Tc  0.5000  0.5000  0.5000
W  0.0000  0.0000  0.5000

Output
* volume: 16.3 A^3/atom
* density: 12.67 g/cm3
* energy above the lowest structure with this stoichiometry: 234.1 meV per atom
* SG: No. 10



13.
Below is a geometry-optimized CaCe2TmBi4 structure, with properties calculated at the PBE level.

Cell: 4.5799 7.9554 7.8003 Å, 109.65 90.00 90.00°
Fractional coordinates of all 8 atoms:
Bi  0.0000  0.2437  0.7487
Bi  0.5000  0.2433  0.2455
Bi  0.5000  0.7567  0.7545
Bi  0.0000  0.7563  0.2513
Tm  0.0000  0.0000  0.0000
Ca  0.5000  0.5000  0.0000
Ce  0.0000  0.5000  0.5000
Ce  0.5000  0.0000  0.5000

Output
* volume: 33.5 A^3/atom
* energy: -5.019 eV/atom
* density: 8.22 g/cm3
* SG: No. 10



14.
Below is a geometry-optimized AcIn6 structure, with properties calculated at the PBE level.

Cell: 6.8703 6.8703 6.8703 Å, 109.47 109.47 109.47°
Fractional coordinates of all 7 atoms:
In  0.5000  0.2500  0.7500
In  0.5000  0.7500  0.2500
In  0.2500  0.5000  0.7500
In  0.7500  0.2500  0.5000
In  0.2500  0.7500  0.5000
In  0.7500  0.5000  0.2500
Ac  0.0000  0.0000  0.0000

Output
* volume: 35.7 A^3/atom
* density: 6.09 g/cm3
* energy above the lowest structure with this stoichiometry: 445.8 meV per atom
* SG: No. 229



15.
Below is a geometry-optimized Ac2YMo2N6 structure, with properties calculated at the PBE level.

Cell: 5.8962 5.8962 7.1414 Å, 65.62 65.62 60.00°
Fractional coordinates of all 11 atoms:
N  0.2316  0.7429  0.2827
N  0.7684  0.2571  0.7173
N  0.2571  0.2571  0.7173
N  0.7429  0.7429  0.2827
N  0.2571  0.7684  0.7173
N  0.7429  0.2316  0.2827
Mo  0.6020  0.6020  0.1941
Mo  0.3980  0.3980  0.8059
Ac  0.7948  0.7948  0.6155
Ac  0.2052  0.2052  0.3845
Y  0.0000  0.0000  0.0000

Output
* volume: 17.2 A^3/atom
* energy relative to the elements, uncorrected: -0.833 eV/atom
* density: 7.19 g/cm3
* SG: No. 166



16.
Below is a geometry-optimized LuRh2Pb structure, with properties calculated at the PBE level.

Cell: 3.4504 3.4504 6.3517 Å, 90.00 90.00 90.00°
Fractional coordinates of all 4 atoms:
Rh  0.0000  0.0000  0.7523
Rh  0.0000  0.0000  0.2477
Pb  0.5000  0.5000  0.5000
Lu  0.5000  0.5000  0.0000

Output
* volume: 18.9 A^3/atom
* energy: -6.249 eV/atom
* density: 12.91 g/cm3
* SG: No. 123



17.
Below is a geometry-optimized Mg2FePdN structure, with properties calculated at the PBE level.

Cell: 4.3743 4.3743 3.5239 Å, 90.00 90.00 90.00°
Fractional coordinates of all 5 atoms:
N  0.0000  0.0000  0.0000
Mg  0.0000  0.5000  0.0000
Mg  0.5000  0.0000  0.0000
Fe  0.0000  0.0000  0.5000
Pd  0.5000  0.5000  0.5000

Output
* volume: 13.5 A^3/atom
* energy relative to the elements, uncorrected: -0.399 eV/atom
* density: 5.54 g/cm3
* SG: No. 123



18.
Below is a geometry-optimized Mn2AlB2 structure, with properties calculated at the PBE level.

Cell: 3.3448 3.3448 4.9573 Å, 70.28 70.28 90.00°
Fractional coordinates of all 5 atoms:
B  0.4010  0.4010  0.1979
B  0.5990  0.5990  0.8021
Mn  0.2500  0.7500  0.5000
Mn  0.7500  0.2500  0.5000
Al  0.0000  0.0000  0.0000

Output
* volume: 9.7 A^3/atom
* density: 5.40 g/cm3
* energy above the lowest structure with this stoichiometry: 303.7 meV per atom
* SG: No. 139



19.
Below is a geometry-optimized CaZrIr2 structure, with properties calculated at the PBE level.

Cell: 3.7246 3.7246 5.9946 Å, 90.00 90.00 90.00°
Fractional coordinates of all 4 atoms:
Zr  0.0000  0.0000  0.4144
Ca  0.5000  0.5000  0.8007
Ir  0.5000  0.5000  0.2939
Ir  0.0000  0.0000  0.9910

Output
* volume: 20.8 A^3/atom
* energy: -7.157 eV/atom
* density: 10.30 g/cm3
* SG: No. 99



20.
Below is a geometry-optimized Pm4AuN structure, with properties calculated at the PBE level.

Cell: 6.1995 7.2272 7.7702 Å, 105.25 113.51 90.00°
Fractional coordinates of all 12 atoms:
N  0.5000  0.5000  0.5000
N  0.0000  0.0000  0.5000
Pm  0.6784  0.9533  0.1986
Pm  0.5201  0.4533  0.1986
Pm  0.7533  0.8340  0.6323
Pm  0.4799  0.5467  0.8014
Pm  0.2467  0.1660  0.3677
Pm  0.3216  0.0467  0.8014
Pm  0.8790  0.3340  0.6323
Pm  0.1210  0.6660  0.3677
Au  0.1380  0.7500  0.0000
Au  0.8620  0.2500  0.0000

Output
* volume: 25.5 A^3/atom
* energy relative to the elements, uncorrected: -0.621 eV/atom
* density: 8.59 g/cm3
* SG: No. 15